MnBeGaW: optimized geometry, PBE.

**Calculated formation energy**: 0.009 eV/atom
**Crystal system**: cubic
**Fermi-level density of states**: 0.36 states/eV per cell

The structure in POSCAR format:
```
MnBeGaW
1.0
0.000 2.908 2.908
2.908 0.000 2.908
2.908 2.908 0.000
Mn Be Ga W
1 1 1 1
direct
0.000 0.000 0.000
0.500 0.500 0.500
0.250 0.250 0.250
0.750 0.750 0.750
```

=====

Mn2BeZnGa: optimized geometry, PBE.

**Calculated formation energy**: 1.239 eV/atom
**Crystal system**: tetragonal
**Fermi-level density of states**: 9.21 states/eV per cell

The structure in POSCAR format:
```
Mn2BeZnGa
1.0
4.447 0.000 0.000
0.000 4.447 0.000
0.000 0.000 4.032
Mn Be Zn Ga
2 1 1 1
direct
0.000 0.500 0.000
0.500 0.000 0.000
0.000 0.000 0.500
0.500 0.500 0.500
0.000 0.000 0.000
```

=====

BeGaMo2: optimized geometry, PBE.

**Calculated formation energy**: 0.471 eV/atom
**Crystal system**: tetragonal
**Fermi-level density of states**: 4.60 states/eV per cell

The structure in POSCAR format:
```
BeGaMo2
1.0
-1.832 1.832 9.167
1.832 -1.832 9.167
1.832 1.832 -9.167
Be Ga Mo
2 2 4
direct
0.000 0.000 0.000
0.750 0.250 0.500
0.250 0.750 0.500
0.500 0.500 0.000
0.118 0.625 0.993
0.375 0.368 0.493
0.632 0.125 0.007
0.875 0.882 0.507
```

=====

Be2Ga2Mo: optimized geometry, PBE.

**Calculated formation energy**: 0.297 eV/atom
**Crystal system**: tetragonal
**Fermi-level density of states**: 1.78 states/eV per cell

The structure in POSCAR format:
```
Be2Ga2Mo
1.0
-1.734 1.734 5.423
1.734 -1.734 5.423
1.734 1.734 -5.423
Be Ga Mo
2 2 1
direct
0.250 0.750 0.500
0.750 0.250 0.500
0.110 0.110 0.000
0.890 0.890 0.000
0.500 0.500 0.000
```

=====

Be2Ga2Mo: optimized geometry, PBE.

**Calculated formation energy**: 0.162 eV/atom
**Crystal system**: tetragonal
**Fermi-level density of states**: 5.03 states/eV per cell

The structure in POSCAR format:
```
Be2Ga2Mo
1.0
6.510 0.000 0.000
0.000 6.510 0.000
0.000 0.000 2.981
Be Ga Mo
4 4 2
direct
0.124 0.376 0.000
0.376 0.876 0.000
0.624 0.124 0.000
0.876 0.624 0.000
0.171 0.671 0.500
0.329 0.171 0.500
0.671 0.829 0.500
0.829 0.329 0.500
0.000 0.000 0.000
0.500 0.500 0.000
```

=====

BeGa2Mo2: optimized geometry, PBE.

**Calculated formation energy**: 0.122 eV/atom
**Crystal system**: tetragonal
**Fermi-level density of states**: 4.57 states/eV per cell

The structure in POSCAR format:
```
BeGa2Mo2
1.0
6.072 0.000 0.000
0.000 6.072 0.000
0.000 0.000 4.141
Be Ga Mo
2 4 4
direct
0.000 0.000 0.000
0.500 0.500 0.000
0.158 0.342 0.500
0.342 0.842 0.500
0.658 0.158 0.500
0.842 0.658 0.500
0.155 0.655 0.000
0.345 0.155 0.000
0.655 0.845 0.000
0.845 0.345 0.000
```

=====

Question: Among the records above, which one has the highest calculated formation energy?
Answer: Mn2BeZnGa